Compound: Tb6Pm4Er
Source: the Alexandria database
Functional: PBE
Structure: relaxed

Unit cell a=3.567 b=11.009 c=11.009 alpha=120.00 beta=90.00 gamma=90.00
Positions (direct):
Tb  0.000  0.515  0.030
Tb  0.500  0.639  0.820
Tb  0.000  0.515  0.485
Tb  0.000  0.970  0.485
Tb  0.500  0.180  0.820
Tb  0.500  0.180  0.361
Pm  0.500  0.838  0.676
Pm  0.500  0.324  0.162
Pm  0.500  0.838  0.162
Pm  0.000  0.333  0.667
Er  0.000  0.000  0.000

Properties
N(E_F) in states/eV/atom: 1.48
Crystal system: hexagonal
Space group: P-6m2 (187)
DFT formation energy in eV per atom: 0.158
Offset from the most stable computed form in meV/atom: 0

***

Compound: NdYAl2
Source: the Alexandria database
Functional: PBE
Structure: relaxed

Unit cell a=3.668 b=3.668 c=7.326 alpha=90.00 beta=90.00 gamma=90.00
Positions (direct):
Y  0.500  0.500  0.000
Nd  0.500  0.500  0.500
Al  0.000  0.000  0.764
Al  0.000  0.000  0.236

Properties
N(E_F) in states/eV/atom: 0.38
Crystal system: tetragonal
Space group: P4/mmm (123)
DFT formation energy in eV per atom: -0.390

***

Compound: In7Hg4Pb3
Source: the Alexandria database
Functional: PBE
Structure: relaxed

Unit cell a=3.257 b=13.531 c=11.361 alpha=52.31 beta=81.76 gamma=83.09
Positions (direct):
In  0.286  0.853  0.575
In  0.436  0.288  0.839
In  0.792  0.372  0.045
In  0.714  0.147  0.425
In  0.208  0.628  0.955
In  0.000  0.000  0.000
In  0.564  0.712  0.161
Hg  0.643  0.427  0.287
Hg  0.357  0.573  0.713
Hg  0.923  0.795  0.359
Hg  0.077  0.205  0.641
Pb  0.354  0.081  0.211
Pb  0.646  0.919  0.789
Pb  0.000  0.500  0.500

Properties
N(E_F) in states/eV/atom: 0.35
Crystal system: monoclinic
Space group: C2/m (12)
DFT formation energy in eV per atom: 0.027

***

Compound: Mg8NiAu2
Source: the Alexandria database
Functional: PBE
Structure: relaxed

Unit cell a=4.500 b=7.661 c=7.570 alpha=120.40 beta=107.29 gamma=90.00
Positions (direct):
Mg  0.654  0.877  0.309
Mg  0.345  0.568  0.691
Mg  0.137  0.137  0.273
Mg  0.000  0.309  0.000
Mg  0.863  0.863  0.727
Mg  0.655  0.432  0.309
Mg  0.346  0.123  0.691
Mg  0.000  0.691  0.000
Ni  0.500  0.000  0.000
Au  0.195  0.695  0.391
Au  0.805  0.305  0.609

Properties
N(E_F) in states/eV/atom: 0.32
Crystal system: orthorhombic
Space group: Immm (71)
DFT formation energy in eV per atom: -0.291
Offset from the most stable computed form in meV/atom: 13

***

Compound: Hf3PbBr
Source: the Alexandria database
Functional: PBE
Structure: relaxed

Unit cell a=4.970 b=4.970 c=4.970 alpha=90.00 beta=90.00 gamma=90.00
Positions (direct):
Pb  0.500  0.500  0.500
Hf  0.000  0.500  0.000
Hf  0.000  0.000  0.500
Hf  0.500  0.000  0.000
Br  0.000  0.000  0.000

Properties
N(E_F) in states/eV/atom: 2.34
Crystal system: cubic
Space group: Pm-3m (221)
E_form (uncorrected) in meV per atom: 659
Offset from the most stable computed form in meV/atom: 0

***

- N(E_F) of number 2 (NdYAl2)?
  0.38 states/eV/atom

***

What did the second record say?
Compound: NdYAl2
Source: the Alexandria database
Functional: PBE
Structure: relaxed

Unit cell a=3.668 b=3.668 c=7.326 alpha=90.00 beta=90.00 gamma=90.00
Positions (direct):
Y  0.500  0.500  0.000
Nd  0.500  0.500  0.500
Al  0.000  0.000  0.764
Al  0.000  0.000  0.236

Properties
N(E_F) in states/eV/atom: 0.38
Crystal system: tetragonal
Space group: P4/mmm (123)
DFT formation energy in eV per atom: -0.390

***

- What is the N(E_F) in the third record?
  0.35 states/eV/atom

***

- Which value of N(E_F) does entry 1 give?
  1.48 states/eV/atom